(1)
NbPbS3 | PBE | optimized geometry

```
NbPbS3
1.0
-1.9038 3.4555 2.7905
-6.9387 -2.9562 -1.0731
6.9482 -3.8093 5.2734
Nb Pb S
2 2 6
Direct
0.8151 0.1300 0.6301
0.1849 0.8700 0.3699
0.6325 0.2595 0.2650
0.3675 0.7405 0.7350
0.0792 0.9407 0.1585
0.9208 0.0593 0.8415
0.3362 0.2035 0.6725
0.6638 0.7965 0.3275
0.1824 0.5389 0.3647
0.8176 0.4611 0.6353
```

Values from the calculation:
* excess energy over the best structure of this formula in the dataset: 0 meV/atom
* formation energy (no corrections): -0.66 eV/atom

(2)
NbPbS2 | PBE | optimized geometry

```
NbPbS2
1.0
-1.4665 -2.9380 0.8474
3.1400 0.0205 -1.2807
6.7900 1.4188 16.6705
Nb Pb S
2 2 4
Direct
0.6667 0.3333 0.7500
0.3333 0.6667 0.2500
0.0000 0.0000 0.0000
0.0000 0.0000 0.5000
0.0000 0.0000 0.1642
0.0000 0.0000 0.6642
0.0000 0.0000 0.3358
0.0000 0.0000 0.8358
```

Values from the calculation:
* formation energy (no corrections): -0.89 eV/atom

(3)
Nb4PbS8 | PBE | optimized geometry

```
Nb4PbS8
1.0
7.3440 0.0000 0.0000
3.6720 6.3601 0.0000
3.6720 2.1200 5.9963
Nb Pb S
4 1 8
Direct
0.9358 0.3547 0.3547
0.3547 0.9358 0.3547
0.3547 0.3547 0.9358
0.3547 0.3547 0.3547
0.7500 0.7500 0.7500
0.6347 0.1218 0.1218
0.1218 0.6347 0.1218
0.1218 0.1218 0.6347
0.1218 0.1218 0.1218
0.1885 0.6038 0.6038
0.6038 0.1885 0.6038
0.6038 0.6038 0.1885
0.6038 0.6038 0.6038
```

Values from the calculation:
* excess energy over the best structure of this formula in the dataset: 74 meV/atom
* formation energy (no corrections): -0.87 eV/atom

(4)
NbPbS3 | PBE | optimized geometry

```
NbPbS3
1.0
5.0536 0.0000 0.0000
0.0000 5.0536 0.0000
0.0000 0.0000 5.0536
Pb Nb S
1 1 3
Direct
0.0000 0.0000 0.0000
0.5000 0.5000 0.5000
0.0000 0.5000 0.0000
0.0000 0.0000 0.5000
0.5000 0.0000 0.0000
```

Values from the calculation:
* excess energy over the best structure of this formula in the dataset: 1610 meV/atom
* formation energy (no corrections): 0.95 eV/atom